{"formula": "YMoIO2", "functional": "PBE+U", "state": "relaxed", "dos_ef_per_ev_cell": 2.1, "rho_g_cm3": 5.7, "e_tot_ev_per_cell": -28.79, "spacegroup": "No. 123", "cell": [[4.178, 0.000, 0.000], [0.000, 4.178, 0.000], [0.000, 0.000, 5.699]], "species": ["Y", "Mo", "I", "O", "O"], "frac_coords": [[0.000, 0.000, 0.000], [0.500, 0.500, 0.500], [0.500, 0.500, 0.000], [0.000, 0.500, 0.500], [0.500, 0.000, 0.500]]}